(1)
The following is a DFT calculation (PBE) of a geometry-optimized Na2NpTl2O6 structure.

POSCAR file:
```
Na2NpTl2O6
1.0
-1.543 -5.301 -2.019
-0.702 0.945 5.759
-4.657 3.966 -2.681
Na Np Tl O
2 1 2 6
Cartesian
-3.319 0.788 1.754 Na
-3.583 -1.178 -0.695 Na
-2.329 1.983 -1.341 Np
-1.393 -4.191 -0.637 Tl
-0.851 -0.165 4.377 Tl
-5.228 -0.708 1.134 O
-3.486 2.588 0.121 O
-1.674 0.319 -0.075 O
-3.724 0.822 -2.079 O
-3.416 -2.978 0.938 O
-3.178 -1.211 3.138 O
```

Calculated values
- E_form (uncorrected) (meV per atom) = -1713.7


(2)
The following is a DFT calculation (PBE) of a geometry-optimized Ac2Pr4Dy5 structure.

POSCAR file:
```
Ac2Pr4Dy5
1.0
-3.472 1.445 -0.136
-3.185 -7.954 -3.187
1.480 -0.182 12.373
Ac Pr Dy
2 4 5
Cartesian
-4.241 -5.276 0.139 Ac
-0.938 -1.415 8.912 Ac
-3.356 -2.887 2.934 Pr
-1.188 -2.867 -0.127 Pr
-1.822 -3.804 6.116 Pr
-3.990 -3.824 9.178 Pr
-0.479 -0.898 2.689 Dy
-4.699 -5.793 6.362 Dy
-2.797 -6.392 3.506 Dy
-1.736 0.723 -0.068 Dy
-2.381 -0.299 5.545 Dy
```

Calculated values
- DFT formation energy (eV per atom) = 0.05


(3)
The following is a DFT calculation (PBE) of a geometry-optimized LiTbPmEu structure.

POSCAR file:
```
LiTbPmEu
1.0
-4.210 3.727 -0.819
-3.130 -0.245 -4.736
-5.409 -1.722 0.255
Eu Li Tb Pm
1 1 1 1
Cartesian
-3.187 0.440 -1.325 Eu
0.000 0.000 0.000 Li
-9.562 1.319 -3.975 Tb
-6.374 0.880 -2.650 Pm
```

Calculated values
- DFT formation energy (eV per atom) = 0.23


(4)
The following is a DFT calculation (PBE) of a geometry-optimized CeDy7Tm12 structure.

POSCAR file:
```
CeDy7Tm12
1.0
8.374 1.023 1.535
-1.346 8.328 1.535
-1.346 -1.791 8.277
Ce Dy Tm
1 7 12
Cartesian
0.000 0.000 0.000 Ce
7.114 6.478 3.045 Dy
1.438 8.076 2.206 Dy
7.357 0.639 4.197 Dy
2.841 3.780 5.674 Dy
-1.676 6.921 7.151 Dy
4.244 -0.516 9.141 Dy
-1.432 1.082 8.302 Dy
5.323 1.598 6.724 Tm
5.627 3.496 3.629 Tm
3.215 0.897 3.795 Tm
5.714 5.343 6.805 Tm
1.793 0.892 7.283 Tm
3.544 3.594 9.057 Tm
2.138 3.966 2.290 Tm
3.889 6.668 4.064 Tm
-0.032 2.217 4.542 Tm
2.467 6.663 7.552 Tm
0.055 4.064 7.719 Tm
0.359 5.962 4.623 Tm
```

Calculated values
- excess energy over the best structure of this formula in the dataset (eV/f.u.) = 0.00
- DFT formation energy (eV per atom) = 0.26